# Y3Sc2Co2

A relaxed Y3Sc2Co2 crystal (PBE, Alexandria via LeMat-Bulk).

```
data_Y3Sc2Co2
_space_group_name_H-M_alt 'C 1 2/m 1'
_space_group_IT_number 12
_space_group_name_Hall '-C 2y'
_cell_length_a 11.646
_cell_length_b 3.569
_cell_length_c 8.524
_cell_angle_alpha 90.00
_cell_angle_beta 114.80
_cell_angle_gamma 90.00
loop_
_atom_site_label
_atom_site_type_symbol
_atom_site_fract_x
_atom_site_fract_y
_atom_site_fract_z
_atom_site_occupancy
Y1 Y 0.000 0.000 0.000 1
Y2 Y 0.115 0.000 0.430 1
Sc1 Sc 0.176 0.500 0.817 1
Co1 Co 0.188 0.500 0.232 1
```

Summary:
The energy relative to the elements is -0.160 eV per atom. The mass density is 4.900 g cm⁻³. The value obtained for the density of states at the Fermi level is 0.938 states/eV per atom.

***

# YSc2Co

A relaxed YSc2Co crystal (PBE, Alexandria via LeMat-Bulk).

```
data_YSc2Co
_space_group_name_H-M_alt 'P m m m'
_space_group_IT_number 47
_space_group_name_Hall '-P 2 2'
_cell_length_a 3.722
_cell_length_b 4.673
_cell_length_c 4.854
_cell_angle_alpha 90.00
_cell_angle_beta 90.00
_cell_angle_gamma 90.00
loop_
_atom_site_label
_atom_site_type_symbol
_atom_site_fract_x
_atom_site_fract_y
_atom_site_fract_z
_atom_site_occupancy
Y1 Y 0.000 0.000 0.000 1
Sc1 Sc 0.000 0.500 0.500 1
Sc2 Sc 0.500 0.000 0.500 1
Co1 Co 0.500 0.500 0.000 1
```

Summary:
The energy relative to the elements is 0.118 eV per atom. The mass density is 4.677 g cm⁻³. Its offset from the most stable computed form is 1.23 eV per formula unit. The value obtained for the density of states at the Fermi level is 0.813 states/eV per atom.

***

# Y2ScCo

A relaxed Y2ScCo crystal (PBE, Alexandria via LeMat-Bulk).

```
data_Y2ScCo
_space_group_name_H-M_alt 'P n m a'
_space_group_IT_number 62
_space_group_name_Hall '-P 2ac 2n'
_cell_length_a 6.808
_cell_length_b 9.195
_cell_length_c 6.147
_cell_angle_alpha 90.00
_cell_angle_beta 90.00
_cell_angle_gamma 90.00
loop_
_atom_site_label
_atom_site_type_symbol
_atom_site_fract_x
_atom_site_fract_y
_atom_site_fract_z
_atom_site_occupancy
Y1 Y 0.181 0.066 0.179 1
Sc1 Sc 0.047 0.250 0.644 1
Co1 Co 0.114 0.750 0.983 1
```

Summary:
The energy relative to the elements is -0.164 eV per atom. The mass density is 4.862 g cm⁻³. Its offset from the most stable computed form is 0.00 eV per formula unit. The value obtained for the density of states at the Fermi level is 1.164 states/eV per atom.

***

# YSc3Co

A relaxed YSc3Co crystal (PBE, Alexandria via LeMat-Bulk).

```
data_YSc3Co
_space_group_name_H-M_alt 'P m -3 m'
_space_group_IT_number 221
_space_group_name_Hall '-P 4 2 3'
_cell_length_a 4.936
_cell_length_b 4.936
_cell_length_c 4.936
_cell_angle_alpha 90.00
_cell_angle_beta 90.00
_cell_angle_gamma 90.00
loop_
_atom_site_label
_atom_site_type_symbol
_atom_site_fract_x
_atom_site_fract_y
_atom_site_fract_z
_atom_site_occupancy
Y1 Y 0.000 0.000 0.000 1
Sc1 Sc 0.000 0.500 0.500 1
Co1 Co 0.500 0.500 0.500 1
```

Summary:
The energy relative to the elements is -0.091 eV per atom. The mass density is 3.903 g cm⁻³. Its offset from the most stable computed form is 0.00 eV per formula unit. The value obtained for the density of states at the Fermi level is 1.678 states/eV per atom.

***

| no. | V (Å³/f.u.) | energy (eV/atom) |
| --- | --- | --- |
| 1 | 161 | -6.77 |
| 2 | 84 | -6.44 |
| 3 | 96 | -6.76 |
| 4 | 120 | -6.60 |